# Tl2TePb

A relaxed structure of Tl2TePb (PBE, Alexandria).

abc: 9.3405 9.3405 9.3405
angles: 26.04 26.04 26.04
With the nearest neighbours (Å) after each atom.
Fractional coordinates of all 4 atoms:
Tl 0.9956 0.9956 0.9956  3 Te 3.28, 3 Tl 3.37
Te 0.2476 0.2476 0.2476  3 Pb 3.12, 3 Tl 3.28
Pb 0.5084 0.5084 0.5084  3 Te 3.12
Tl 0.7484 0.7484 0.7484  3 Tl 3.37, 3 Pb 3.50

## Properties
Space-group type   R3m, No. 160
M_tot   0.000 μB/cell
Energy relative to the elements, uncorrected   -7 kJ per mole of atoms